Record 1
Entry from the Alexandria database: an optimized crystal structure of Sr12Zn3F5 (PBE-GGA).

```
80
Lattice="-6.124 -4.070 -13.039 8.158 -11.316 5.429 -10.831 3.462 9.735" Properties=species:S:1:pos:R:3 pbc="T T T"
Zn -4.224 -10.790 1.056
F -4.399 -5.962 1.063
Sr -1.566 -8.919 -4.226
Sr -6.786 -6.136 -0.557
Sr -3.147 -10.091 -7.677
Sr -0.598 -6.713 7.377
Zn -5.850 -4.074 -3.141
Sr -10.426 -2.534 3.672
Sr -0.693 -12.597 -2.829
Sr 1.629 -9.389 -1.546
Sr 2.147 -13.441 -5.475
F -1.611 -3.922 -2.315
Zn 0.094 -7.733 0.937
F 1.017 -7.693 -3.805
Sr -5.666 -0.809 -2.087
Sr -5.271 -8.055 2.854
F 0.603 -11.579 -0.965
Sr -0.022 -5.790 -1.894
Sr -5.889 -2.047 -5.916
Sr -2.909 -9.876 8.041
Zn -8.203 -0.308 8.246
Sr -8.199 -5.210 -5.252
Sr -5.756 -3.897 2.562
Sr -3.738 -4.619 6.131
Sr -12.145 -3.599 0.252
Sr -10.944 1.518 7.600
F -8.478 -0.304 -1.652
Zn -1.750 -7.813 10.422
F 1.291 -7.697 6.092
Sr -2.783 -4.087 -4.504
Sr -11.489 -2.660 -5.299
Sr -10.351 -7.137 0.513
Sr -3.612 -4.168 -8.390
Sr 1.553 -4.787 1.612
F -9.400 -0.344 3.091
F -13.051 -1.437 -0.582
F -7.186 -8.001 4.441
Sr -4.240 -0.867 4.399
F -10.089 -4.226 -3.967
Sr -3.526 -3.868 -0.729
Sr -1.296 -1.764 1.887
Sr -7.502 -10.159 0.238
Sr -0.793 -10.969 1.001
Zn -2.888 -6.863 -6.526
Sr -8.104 0.673 4.954
Sr -2.011 -5.787 2.682
Sr -8.004 -0.954 1.124
Zn -0.594 -11.615 -6.120
F -0.414 -3.887 2.840
Sr -5.059 -7.305 -4.005
Sr -3.041 -8.026 -0.437
F -5.241 -3.097 4.861
Zn -2.947 -7.849 5.267
F -8.383 -8.037 -0.714
Sr -5.651 -1.833 9.802
Zn -8.892 -4.190 1.188
F 4.079 -5.658 2.714
Sr 3.347 -8.325 1.874
F -3.062 -2.035 -6.519
Sr -6.027 -7.278 -7.861
Sr -14.325 -1.646 -2.708
F 4.253 -10.486 2.707
Zn -7.047 -4.110 -8.296
Sr -2.770 -4.646 9.986
Sr -7.231 -3.005 6.351
F -3.556 -8.826 -2.735
Sr -8.891 -3.132 -2.081
Sr 2.692 -9.263 7.425
Sr -3.132 -11.114 4.212
Sr 5.528 -10.277 4.834
Zn -5.909 -5.060 8.652
Sr 0.094 -8.792 4.206
F 0.000 0.000 0.000
Sr -4.557 -11.056 -2.273
Sr -8.775 -6.134 4.020
Zn -4.573 -1.134 1.070
Sr -6.015 -7.836 6.629
F -1.336 -3.927 7.582
Sr -5.185 -7.755 10.516
F -5.416 1.731 4.868
```

Computed properties:
Theoretical density ... 3.5 Mg/m³
Raw formation energy ... -28.11 eV/f.u.
SG ... No. 230

Record 2
Entry from the Alexandria database: an optimized crystal structure of Hf2InNi2 (PBE-GGA).

```
5
Lattice="4.362 0.000 0.000 0.000 4.362 0.000 2.181 2.181 4.980" Properties=species:S:1:pos:R:3 pbc="T T T"
Ni 4.362 4.362 3.850
In 0.000 0.000 0.000
Hf 2.181 4.362 2.490
Hf 4.362 2.181 2.490
Ni 2.181 2.181 1.129
```

Computed properties:
Theoretical density ... 10.3 Mg/m³
Energy of formation from the pure elements ... -0.165 eV per atom
SG ... No. 139

Record 3
Entry from the Alexandria database: an optimized crystal structure of Ti4Cd (PBE-GGA).

```
5
Lattice="3.014 0.000 0.000 0.000 4.024 0.000 -1.507 -2.012 7.419" Properties=species:S:1:pos:R:3 pbc="T T T"
Ti 1.507 2.012 1.570
Cd 0.000 0.000 0.000
Ti 0.000 0.000 5.849
Ti 1.507 2.012 4.352
Ti 0.000 0.000 3.067
```

Computed properties:
Theoretical density ... 5.6 Mg/m³
E above lowest polymorph ... 0.0000 eV/atom
Energy of formation from the pure elements ... 0.026 eV per atom
SG ... No. 71

Record 4
Entry from the Alexandria database: an optimized crystal structure of Cd2CoCu (PBE-GGA).

```
4
Lattice="-4.939 1.203 1.990 -4.091 -3.574 -0.543 4.960 1.138 1.976" Properties=species:S:1:pos:R:3 pbc="T T T"
Co -4.362 -1.145 0.699
Cu -2.023 -1.863 1.110
Cd -0.113 -0.030 0.018
Cd -2.088 0.619 2.319
```

Computed properties:
Theoretical density ... 9.0 Mg/m³
E above lowest polymorph ... 0.0218 eV/atom
Energy of formation from the pure elements ... 0.234 eV per atom
SG ... No. 44